Record 1
The following is a DFT calculation (PBE) of CaCoNiGe2 after structural relaxation.

a b c (Å): 5.853 5.853 5.853
angles (deg): 139.64 139.64 58.39
Fractional coordinates of all 5 atoms:
1 Ca 0.000 0.000 0.000
2 Co 0.750 0.250 0.500
3 Ni 0.250 0.750 0.500
4 Ge 0.369 0.369 0.000
5 Ge 0.631 0.631 0.000

Computed properties:
crystal system = tetragonal
energy of formation from the pure elements = -48 kJ per mole of atoms

***

Record 2
The following is a DFT calculation (PBE) of Mg2TaW after structural relaxation.

a b c (Å): 2.863 2.863 9.616
angles (deg): 90.00 90.00 108.32
Fractional coordinates of all 4 atoms:
1 Mg 0.000 0.000 0.000
2 Mg 0.500 0.500 0.274
3 Ta 0.500 0.500 0.741
4 W 0.000 0.000 0.517

Computed properties:
energy relative to the lowest polymorph listed for this composition = 0 meV per atom
crystal system = orthorhombic
energy of formation from the pure elements = 19 kJ per mole of atoms

***

Record 3
The following is a DFT calculation (PBE) of BaCeOsO6 after structural relaxation.

a b c (Å): 7.218 7.218 7.218
angles (deg): 119.04 118.13 92.47
Fractional coordinates of all 18 atoms:
1 Ba 0.338 0.088 0.250
2 Ba 0.662 0.912 0.750
3 Ce 0.000 0.500 0.500
4 Ce 0.500 0.500 0.000
5 Os 0.000 0.000 0.500
6 Os 0.000 0.500 0.000
7 O 0.050 0.329 0.141
8 O 0.050 0.910 0.722
9 O 0.080 0.330 0.750
10 O 0.312 0.090 0.641
11 O 0.312 0.671 0.222
12 O 0.365 0.615 0.750
13 O 0.635 0.385 0.250
14 O 0.688 0.329 0.778
15 O 0.688 0.910 0.359
16 O 0.920 0.670 0.250
17 O 0.950 0.090 0.278
18 O 0.950 0.671 0.859

Computed properties:
raw formation energy = -2.22 eV per atom
crystal system = orthorhombic

***

Record 4
The following is a DFT calculation (PBE) of Y2TmSnC after structural relaxation.

a b c (Å): 4.896 4.896 4.818
angles (deg): 90.00 90.00 90.00
Fractional coordinates of all 5 atoms:
1 Y 0.000 0.500 0.000
2 Y 0.500 0.000 0.000
3 Tm 0.000 0.000 0.500
4 Sn 0.500 0.500 0.500
5 C 0.000 0.000 0.000

Computed properties:
crystal system = tetragonal
energy of formation from the pure elements = -64 kJ per mole of atoms

***

Record 5
The following is a DFT calculation (PBE) of Ac3Ga4Ru2 after structural relaxation.

a b c (Å): 5.958 5.958 8.617
angles (deg): 100.58 100.58 46.68
Fractional coordinates of all 9 atoms:
1 Ac 0.000 0.000 0.000
2 Ac 0.383 0.383 0.304
3 Ac 0.617 0.617 0.696
4 Ga 0.109 0.109 0.413
5 Ga 0.285 0.285 0.912
6 Ga 0.715 0.715 0.088
7 Ga 0.891 0.891 0.587
8 Ru 0.311 0.311 0.628
9 Ru 0.689 0.689 0.372

Computed properties:
crystal system = monoclinic
energy of formation from the pure elements = -45 kJ per mole of atoms

***

Record 6
The following is a DFT calculation (PBE) of SrMg2 after structural relaxation.

a b c (Å): 4.264 4.264 6.024
angles (deg): 90.00 90.00 90.00
Fractional coordinates of all 3 atoms:
1 Sr 0.000 0.000 0.000
2 Mg 0.000 0.500 0.500
3 Mg 0.500 0.000 0.500

Computed properties:
crystal system = tetragonal
energy of formation from the pure elements = 15 kJ per mole of atoms

***

Record 7
The following is a DFT calculation (PBE) of AcPmIrBr after structural relaxation.

a b c (Å): 8.448 8.448 8.448
angles (deg): 29.11 29.11 29.11
Fractional coordinates of all 4 atoms:
1 Ac 0.000 0.000 0.000
2 Pm 0.794 0.794 0.794
3 Ir 0.401 0.401 0.401
4 Br 0.221 0.221 0.221

Computed properties:
raw formation energy = -1.13 eV per atom
crystal system = trigonal

***

Record 8
The following is a DFT calculation (PBE) of LiTb2Sm2 after structural relaxation.

a b c (Å): 9.363 9.363 9.363
angles (deg): 152.97 152.97 38.60
Fractional coordinates of all 5 atoms:
1 Li 0.000 0.000 0.000
2 Tb 0.250 0.750 0.500
3 Tb 0.750 0.250 0.500
4 Sm 0.409 0.409 0.000
5 Sm 0.591 0.591 0.000

Computed properties:
crystal system = tetragonal
energy of formation from the pure elements = 43 kJ per mole of atoms